First-principles (PBE-GGA) data for a relaxed Y12Ho3In crystal, as listed in Alexandria.

Results
Final energy ... -5.92 eV/atom
Crystal system ... tetragonal
ΔE_f ... -0.044 eV per atom
Space-group type ... P4/mmm
Mass density ... 5.57 g/cm3
Density of states at the Fermi level ... 20.932 states/eV/f.u.
Spin magnetization ... 0.0 μB/f.u.

Structure (POSCAR):
```
Y12Ho3In
1.0
4.973 0.000 0.000
0.000 4.973 0.000
0.000 0.000 20.216
Y Ho In
12 3 1
Direct
0.500 0.500 0.000
0.000 0.500 0.879
0.500 0.500 0.755
0.000 0.500 0.121
0.000 0.500 0.374
0.500 0.000 0.879
0.000 0.500 0.626
0.500 0.500 0.245
0.500 0.000 0.121
0.500 0.000 0.626
0.500 0.500 0.500
0.500 0.000 0.374
0.000 0.000 0.751
0.000 0.000 0.249
0.000 0.000 0.500
0.000 0.000 0.000
```